Er2Mg9Sc | PBE | optimized geometry

abc: 4.6146 4.6146 13.7098
angles: 90.00 90.00 90.00
With the nearest neighbours (Å) after each atom.
Element x y z (fractional)
Er  0.0000  0.0000  0.3297  12 Mg 3.26-3.28
Er  0.0000  0.0000  0.6703  12 Mg 3.26-3.28
Mg  0.5000  0.5000  0.0000  8 Mg 3.19, 4 Sc 3.26
Mg  0.5000  0.5000  0.3306  4 Er 3.26, 8 Mg 3.27-3.28
Mg  0.5000  0.5000  0.6694  4 Er 3.26, 8 Mg 3.27-3.28
Mg  0.5000  0.0000  0.1604  8 Mg 3.19-3.28, 2 Sc 3.19, 2 Er 3.27
Mg  0.5000  0.0000  0.5000  8 Mg 3.26-3.27, 4 Er 3.28
Mg  0.5000  0.0000  0.8396  8 Mg 3.19-3.28, 2 Sc 3.19, 2 Er 3.27
Mg  0.0000  0.5000  0.1604  2 Sc 3.19, 8 Mg 3.19-3.28, 2 Er 3.27
Mg  0.0000  0.5000  0.5000  8 Mg 3.26-3.27, 4 Er 3.28
Mg  0.0000  0.5000  0.8396  2 Sc 3.19, 8 Mg 3.19-3.28, 2 Er 3.27
Sc  0.0000  0.0000  0.0000  12 Mg 3.19-3.26

Properties
The value obtained for the energy is -2.53 eV per atom. As for the crystal system: tetragonal. Its formation enthalpy at 0 K is -4.5 kJ per mole of atoms.

HPtRh2 | PBE | optimized geometry

abc: 2.7851 2.7851 7.1021
angles: 78.69 78.69 60.00
With the nearest neighbours (Å) after each atom.
Element x y z (fractional)
H  0.6672  0.6672  0.9984  6 Rh 1.98-2.00
Pt  0.5005  0.5005  0.4984  6 Rh 2.78-2.82, 6 Pt 2.79
Rh  0.0558  0.0558  0.8324  3 H 1.98
Rh  0.2764  0.2764  0.1708  3 H 2.00

Properties
The value obtained for the polymorph energy (0 for the lowest one) is 9 meV/atom. The value obtained for the energy is -5.99 eV per atom. As for the crystal system: trigonal.

SnH4NCl3 | PBE | optimized geometry

abc: 4.4012 9.9461 14.9872
angles: 90.00 90.00 90.00
With the nearest neighbours (Å) after each atom.
Element x y z (fractional)
Sn  0.7500  0.3277  0.5683  5 Cl 2.64-2.91
Sn  0.2500  0.6723  0.4317  5 Cl 2.64-2.91
Sn  0.7500  0.8277  0.9317  5 Cl 2.64-2.91
Sn  0.2500  0.1723  0.0683  5 Cl 2.64-2.91
H  0.4390  0.8732  0.6819  1 N 1.04
H  0.9390  0.1268  0.3181  1 N 1.04
H  0.0610  0.3732  0.8181  1 N 1.04
H  0.5610  0.6268  0.1819  1 N 1.04
H  0.5610  0.1268  0.3181  1 N 1.04
H  0.0610  0.8732  0.6819  1 N 1.04
H  0.9390  0.6268  0.1819  1 N 1.04
H  0.4390  0.3732  0.8181  1 N 1.04
H  0.7500  0.0046  0.2657  1 N 1.04
H  0.2500  0.9954  0.7343  1 N 1.04
H  0.7500  0.5046  0.2343  1 N 1.04
H  0.2500  0.4954  0.7657  1 N 1.04
H  0.7500  0.0065  0.3799  1 N 1.04
H  0.2500  0.9935  0.6201  1 N 1.04
H  0.7500  0.5065  0.1201  1 N 1.04
H  0.2500  0.4935  0.8799  1 N 1.04
N  0.2500  0.4350  0.8222  4 H 1.04
N  0.7500  0.5650  0.1778  4 H 1.04
N  0.2500  0.9350  0.6778  4 H 1.04
N  0.7500  0.0650  0.3222  4 H 1.04
Cl  0.7500  0.2336  0.7330  2 H 2.33
Cl  0.2500  0.7664  0.2670  2 H 2.33
Cl  0.7500  0.7336  0.7670  2 H 2.33
Cl  0.2500  0.2664  0.2330  2 H 2.33
Cl  0.2500  0.1542  0.5161  1 H 2.23
Cl  0.7500  0.8458  0.4839  1 H 2.23
Cl  0.2500  0.6542  0.9839  1 H 2.23
Cl  0.7500  0.3458  0.0161  1 H 2.23
Cl  0.7500  0.4934  0.3863  1 H 2.28
Cl  0.2500  0.5066  0.6137  1 H 2.28
Cl  0.7500  0.9934  0.1137  1 H 2.28
Cl  0.2500  0.0066  0.8863  1 H 2.28

Properties
The value obtained for the energy is -4.23 eV per atom. As for the crystal system: orthorhombic.

LiAc2N | PBE | optimized geometry

abc: 6.1646 6.2704 7.7589
angles: 90.00 113.33 90.00
With the nearest neighbours (Å) after each atom.
Element x y z (fractional)
Li  0.8631  0.1213  0.9534  8 Ac 3.65-3.99
Li  0.3631  0.6212  0.9537  8 Ac 3.64-4.00
Ac  0.2400  0.1213  0.6374  2 N 2.43
Ac  0.0565  0.6212  0.2700  2 N 2.43
Ac  0.6695  0.6213  0.6372  2 N 2.43
Ac  0.4860  0.1212  0.2699  2 N 2.43
N  0.3630  0.8713  0.4536  4 Ac 2.43
N  0.3630  0.3712  0.4536  4 Ac 2.43

Properties
The value obtained for the polymorph energy (0 for the lowest one) is 0 meV/atom. The value obtained for the energy is -5.14 eV per atom. As for the crystal system: monoclinic. The uncorrected formation energy comes out at -523 meV/atom.

NaUS2 | PBE | optimized geometry

abc: 3.4019 3.4019 7.1281
angles: 90.00 90.00 90.00
With the nearest neighbours (Å) after each atom.
Element x y z (fractional)
Na  0.5000  0.5000  0.5000  8 S 3.11, 4 Na 3.40
S  0.0000  0.0000  0.7761  4 U 2.89, 4 Na 3.11, 1 S 3.19
S  0.0000  0.0000  0.2239  4 U 2.89, 4 Na 3.11, 1 S 3.19
U  0.5000  0.5000  0.0000  8 S 2.89

Properties
The value obtained for the energy is -6.41 eV per atom. As for the crystal system: tetragonal. The uncorrected formation energy comes out at -1195 meV/atom.

HfZrIr | PBE | optimized geometry

abc: 5.5968 7.1512 7.1514
angles: 76.06 74.68 74.68
With the nearest neighbours (Å) after each atom.
Element x y z (fractional)
Zr  0.1469  0.6790  0.9289  4 Ir 2.76-2.87
Zr  0.8530  0.8211  0.5711  4 Ir 2.77-2.87
Zr  0.8531  0.3210  0.0711  4 Ir 2.76-2.87
Zr  0.1470  0.1789  0.4289  4 Ir 2.77-2.87
Ir  0.1277  0.4369  0.6869  4 Hf 2.72-2.83, 4 Zr 2.76-2.87
Ir  0.1278  0.9368  0.1869  4 Hf 2.72-2.83, 4 Zr 2.77-2.87
Ir  0.8723  0.5631  0.3131  4 Hf 2.72-2.83, 4 Zr 2.76-2.87
Ir  0.8722  0.0632  0.8131  4 Hf 2.72-2.83, 4 Zr 2.77-2.87
Hf  0.6227  0.4353  0.6852  4 Ir 2.72-2.83
Hf  0.6227  0.9352  0.1852  4 Ir 2.72-2.83
Hf  0.3773  0.5647  0.3148  4 Ir 2.72-2.83
Hf  0.3773  0.0648  0.8148  4 Ir 2.72-2.83

Properties
The value obtained for the polymorph energy (0 for the lowest one) is 189 meV/atom. The value obtained for the energy is -9.57 eV per atom. As for the crystal system: monoclinic. Its formation enthalpy at 0 K is -43.3 kJ per mole of atoms.